The following is a DFT calculation (PBE-GGA) of an optimized crystal structure of NbRh3S.

Summary:
Raw total energy in eV/atom: -6.950
Uncorrected formation energy in eV/f.u.: 1.503
DOS at the Fermi energy in states/eV per cell: 14.6
Polymorph energy (0 for the lowest one) in kcal/mol of atoms: 0.00
Crystal system: cubic
SG: Pm-3m (221)

a = 4.3746 Å, b = 4.3746 Å, c = 4.3746 Å
α = 90.00°, β = 90.00°, γ = 90.00°
Fractional positions:
Nb (0.0000, 0.0000, 0.0000)
Rh (0.0000, 0.5000, 0.5000)
Rh (0.5000, 0.0000, 0.5000)
Rh (0.5000, 0.5000, 0.0000)
S (0.5000, 0.5000, 0.5000)